{"formula": "EuDy2Re", "functional": "PBE", "state": "optimized geometry", "final_energy_ev_per_fu": -30.5, "ef_ev_per_atom": 0.348, "lattice": [[3.525, 0.000, 0.000], [1.763, 3.053, 0.000], [1.763, 1.018, 10.553]], "species": ["Dy", "Dy", "Eu", "Re"], "frac_coords": [[0.730, 0.730, 0.809], [0.270, 0.270, 0.191], [0.500, 0.500, 0.500], [0.000, 0.000, 0.000]]}